! Rb2Pr2CrO6 | Alexandria | PBE with a Hubbard U | relaxed; values from VASP
! **Symmetry**: C2/m (12)
! **Energy**: -6.641 eV/atom
! **Crystal system**: monoclinic
&SYSTEM
  ibrav = 0, nat = 11, ntyp = 4
/
ATOMIC_SPECIES
Rb 85.47 Rb.upf
Pr 140.91 Pr.upf
Cr 52.00 Cr.upf
O 16.00 O.upf
ATOMIC_POSITIONS crystal
Rb 0.8398 0.1602 0.0000
Rb 0.1602 0.8398 0.0000
Pr 0.3359 0.6641 0.5000
Pr 0.6641 0.3359 0.5000
Cr 0.0000 0.0000 0.5000
O 0.7607 0.7607 0.6692
O 0.0440 0.3291 0.6601
O 0.2393 0.2393 0.3308
O 0.3291 0.0440 0.6601
O 0.9560 0.6709 0.3399
O 0.6709 0.9560 0.3399
CELL_PARAMETERS angstrom
5.9431 0.0333 0.1160
-2.9084 5.1829 0.1160
-1.0157 -1.7460 6.6003